1.
# NaSmZnTe3 (PBE-GGA, optimized geometry)
data_NaSmZnTe3
_symmetry_space_group_name_H-M 'P n m a'
_symmetry_Int_Tables_number 62
_symmetry_space_group_name_Hall '-P 2ac 2n'
_cell_length_a 8.8413
_cell_length_b 4.4539
_cell_length_c 18.1682
_cell_angle_alpha 90.00
_cell_angle_beta 90.00
_cell_angle_gamma 90.00
loop_
_atom_site_label
_atom_site_fract_x
_atom_site_fract_y
_atom_site_fract_z
Na1 0.0527 0.2500 0.2144
Sm1 0.2334 0.2500 0.9530
Zn1 0.1124 0.2500 0.6497
Te1 0.0012 0.7500 0.5825
Te2 0.1275 0.7500 0.0629
Te3 0.2178 0.2500 0.7827
# VASP energy in eV per atom: -3.697
# Mass density in g/cm3: 5.77
# Relative energy among the computed polymorphs in meV per atom: 85


2.
# NpBeGa (PBE-GGA, optimized geometry)
data_NpBeGa
_symmetry_space_group_name_H-M 'F -4 3 m'
_symmetry_Int_Tables_number 216
_symmetry_space_group_name_Hall 'F -4 2 3'
_cell_length_a 6.0102
_cell_length_b 6.0102
_cell_length_c 6.0102
_cell_angle_alpha 90.00
_cell_angle_beta 90.00
_cell_angle_gamma 90.00
loop_
_atom_site_label
_atom_site_fract_x
_atom_site_fract_y
_atom_site_fract_z
Np1 0.0000 0.0000 0.0000
Be1 0.2500 0.2500 0.7500
Ga1 0.0000 0.0000 0.5000
# VASP energy in eV per atom: -6.245
# Mass density in g/cm3: 9.66


3.
# CoPd3 (PBE-GGA, optimized geometry)
data_CoPd3
_symmetry_space_group_name_H-M 'P m -3 m'
_symmetry_Int_Tables_number 221
_symmetry_space_group_name_Hall '-P 4 2 3'
_cell_length_a 3.8707
_cell_length_b 3.8707
_cell_length_c 3.8707
_cell_angle_alpha 90.00
_cell_angle_beta 90.00
_cell_angle_gamma 90.00
loop_
_atom_site_label
_atom_site_fract_x
_atom_site_fract_y
_atom_site_fract_z
Co1 0.0000 0.0000 0.0000
Pd1 0.0000 0.5000 0.5000
# VASP energy in eV per atom: -5.616
# Mass density in g/cm3: 10.83
# Energy relative to the elements in eV per atom: 0.04


4.
# LiHg3Te4Ir (PBE-GGA, optimized geometry)
data_LiHg3Te4Ir
_symmetry_space_group_name_H-M 'P -4 3 m'
_symmetry_Int_Tables_number 215
_symmetry_space_group_name_Hall 'P -4 2 3'
_cell_length_a 6.5849
_cell_length_b 6.5849
_cell_length_c 6.5849
_cell_angle_alpha 90.00
_cell_angle_beta 90.00
_cell_angle_gamma 90.00
loop_
_atom_site_label
_atom_site_fract_x
_atom_site_fract_y
_atom_site_fract_z
Li1 0.0000 0.0000 0.0000
Hg1 0.0000 0.5000 0.5000
Te1 0.2509 0.2509 0.2509
Ir1 0.5000 0.5000 0.5000
# VASP energy in eV per atom: -2.557
# Mass density in g/cm3: 7.63


5.
# ZnTcNiPt (PBE-GGA, optimized geometry)
data_ZnTcNiPt
_symmetry_space_group_name_H-M 'F -4 3 m'
_symmetry_Int_Tables_number 216
_symmetry_space_group_name_Hall 'F -4 2 3'
_cell_length_a 6.0544
_cell_length_b 6.0544
_cell_length_c 6.0544
_cell_angle_alpha 90.00
_cell_angle_beta 90.00
_cell_angle_gamma 90.00
loop_
_atom_site_label
_atom_site_fract_x
_atom_site_fract_y
_atom_site_fract_z
Zn1 0.0000 0.0000 0.0000
Tc1 0.2500 0.2500 0.7500
Ni1 0.2500 0.2500 0.2500
Pt1 0.0000 0.0000 0.5000
# VASP energy in eV per atom: -5.779
# Mass density in g/cm3: 12.49
# Relative energy among the computed polymorphs in meV per atom: 0
# Energy relative to the elements in eV per atom: 0.03


6.
# DyErCu2 (PBE-GGA, optimized geometry)
data_DyErCu2
_symmetry_space_group_name_H-M 'P m n 21'
_symmetry_Int_Tables_number 31
_symmetry_space_group_name_Hall 'P 2ac -2'
_cell_length_a 4.4581
_cell_length_b 7.0653
_cell_length_c 5.3301
_cell_angle_alpha 90.00
_cell_angle_beta 90.00
_cell_angle_gamma 90.00
loop_
_atom_site_label
_atom_site_fract_x
_atom_site_fract_y
_atom_site_fract_z
Dy1 0.0000 0.0683 0.0000
Er1 0.0000 0.5681 0.7685
Cu1 0.0000 0.2176 0.5071
Cu2 0.0000 0.7171 0.2613
# VASP energy in eV per atom: -4.420
# Mass density in g/cm3: 9.04
# Relative energy among the computed polymorphs in meV per atom: 0
# Energy relative to the elements in eV per atom: -0.27